Record 1
# PBE-GGA La6Fe2Hg, relaxed
# formation energy = -77 meV/atom
# DOS(E_F) = 1.189 states/eV per atom
# symmetry = Immm, No. 71
data_La6Fe2Hg
_chemical_formula_sum 'La12 Fe4 Hg2'
_space_group_name_H-M_alt 'P 1'
_space_group_IT_number 1
_space_group_name_Hall 'P 1'
_cell_length_a 8.840
_cell_length_b 8.840
_cell_length_c 8.840
_cell_angle_alpha 112.53
_cell_angle_beta 108.38
_cell_angle_gamma 107.55
loop_
_atom_site_label
_atom_site_type_symbol
_atom_site_fract_x
_atom_site_fract_y
_atom_site_fract_z
La1 La 0.007 0.788 0.219
La2 La 0.184 0.298 0.482
La3 La 0.184 0.702 0.886
La4 La 0.317 0.023 0.706
La5 La 0.317 0.611 0.294
La6 La 0.431 0.212 0.219
La7 La 0.569 0.788 0.781
La8 La 0.683 0.389 0.706
La9 La 0.683 0.977 0.294
La10 La 0.816 0.298 0.114
La11 La 0.816 0.702 0.518
La12 La 0.993 0.212 0.781
Fe1 Fe 0.109 0.609 0.500
Fe2 Fe 0.390 0.000 0.390
Fe3 Fe 0.610 0.000 0.610
Fe4 Fe 0.891 0.391 0.500
Hg1 Hg 0.000 0.000 0.000
Hg2 Hg 0.500 0.500 0.000

=====

Record 2
# PBE-GGA LaFeHg, relaxed
# formation energy = 208 meV/atom
# DOS(E_F) = 2.530 states/eV per atom
# symmetry = F-43m, No. 216
data_LaFeHg
_chemical_formula_sum 'La1 Fe1 Hg1'
_space_group_name_H-M_alt 'P 1'
_space_group_IT_number 1
_space_group_name_Hall 'P 1'
_cell_length_a 4.727
_cell_length_b 4.727
_cell_length_c 4.727
_cell_angle_alpha 60.00
_cell_angle_beta 60.00
_cell_angle_gamma 60.00
loop_
_atom_site_label
_atom_site_type_symbol
_atom_site_fract_x
_atom_site_fract_y
_atom_site_fract_z
La1 La 0.000 0.000 0.000
Fe1 Fe 0.250 0.250 0.250
Hg1 Hg 0.500 0.500 0.500

=====

Record 3
# PBE-GGA LaFe3Hg, relaxed
# formation energy = 1559 meV/atom
# DOS(E_F) = 0.887 states/eV per atom
# symmetry = Pm-3m, No. 221
data_LaFe3Hg
_chemical_formula_sum 'La1 Fe3 Hg1'
_space_group_name_H-M_alt 'P 1'
_space_group_IT_number 1
_space_group_name_Hall 'P 1'
_cell_length_a 4.663
_cell_length_b 4.663
_cell_length_c 4.663
_cell_angle_alpha 90.00
_cell_angle_beta 90.00
_cell_angle_gamma 90.00
loop_
_atom_site_label
_atom_site_type_symbol
_atom_site_fract_x
_atom_site_fract_y
_atom_site_fract_z
La1 La 0.000 0.000 0.000
Fe1 Fe 0.000 0.000 0.500
Fe2 Fe 0.000 0.500 0.000
Fe3 Fe 0.500 0.000 0.000
Hg1 Hg 0.500 0.500 0.500

=====

Record 4
# PBE-GGA La4FeHg, relaxed
# formation energy = 591 meV/atom
# DOS(E_F) = 1.977 states/eV per atom
# symmetry = F-43m, No. 216
data_La4FeHg
_chemical_formula_sum 'La4 Fe1 Hg1'
_space_group_name_H-M_alt 'P 1'
_space_group_IT_number 1
_space_group_name_Hall 'P 1'
_cell_length_a 6.404
_cell_length_b 6.404
_cell_length_c 6.404
_cell_angle_alpha 60.00
_cell_angle_beta 60.00
_cell_angle_gamma 60.00
loop_
_atom_site_label
_atom_site_type_symbol
_atom_site_fract_x
_atom_site_fract_y
_atom_site_fract_z
La1 La 0.124 0.124 0.124
La2 La 0.124 0.124 0.627
La3 La 0.124 0.627 0.124
La4 La 0.627 0.124 0.124
Fe1 Fe 0.750 0.750 0.750
Hg1 Hg 0.500 0.500 0.500

=====

Record 5
# PBE-GGA La2FeHg, relaxed
# formation energy = -77 meV/atom
# DOS(E_F) = 0.887 states/eV per atom
# symmetry = Pm, No. 6
data_La2FeHg
_chemical_formula_sum 'La2 Fe1 Hg1'
_space_group_name_H-M_alt 'P 1'
_space_group_IT_number 1
_space_group_name_Hall 'P 1'
_cell_length_a 4.760
_cell_length_b 3.959
_cell_length_c 6.083
_cell_angle_alpha 90.00
_cell_angle_beta 112.90
_cell_angle_gamma 90.00
loop_
_atom_site_label
_atom_site_type_symbol
_atom_site_fract_x
_atom_site_fract_y
_atom_site_fract_z
La1 La 0.000 0.000 0.000
La2 La 0.315 0.500 0.628
Fe1 Fe 0.807 0.000 0.607
Hg1 Hg 0.616 0.500 0.231

=====

Record 6
# PBE-GGA La2FeHg, relaxed
# formation energy = -101 meV/atom
# DOS(E_F) = 1.180 states/eV per atom
# symmetry = P4/mmm, No. 123
data_La2FeHg
_chemical_formula_sum 'La2 Fe1 Hg1'
_space_group_name_H-M_alt 'P 1'
_space_group_IT_number 1
_space_group_name_Hall 'P 1'
_cell_length_a 3.618
_cell_length_b 3.618
_cell_length_c 7.994
_cell_angle_alpha 90.00
_cell_angle_beta 90.00
_cell_angle_gamma 90.00
loop_
_atom_site_label
_atom_site_type_symbol
_atom_site_fract_x
_atom_site_fract_y
_atom_site_fract_z
La1 La 0.000 0.000 0.214
La2 La 0.000 0.000 0.786
Fe1 Fe 0.500 0.500 0.000
Hg1 Hg 0.500 0.500 0.500

=====

Record 7
# PBE-GGA La2FeHg, relaxed
# formation energy = 108 meV/atom
# DOS(E_F) = 1.113 states/eV per atom
# symmetry = I-42d, No. 122
data_La2FeHg
_chemical_formula_sum 'La4 Fe2 Hg2'
_space_group_name_H-M_alt 'P 1'
_space_group_IT_number 1
_space_group_name_Hall 'P 1'
_cell_length_a 6.525
_cell_length_b 6.525
_cell_length_c 6.525
_cell_angle_alpha 102.93
_cell_angle_beta 102.93
_cell_angle_gamma 123.54
loop_
_atom_site_label
_atom_site_type_symbol
_atom_site_fract_x
_atom_site_fract_y
_atom_site_fract_z
La1 La 0.051 0.625 0.926
La2 La 0.375 0.301 0.426
La3 La 0.699 0.125 0.074
La4 La 0.875 0.949 0.574
Fe1 Fe 0.000 0.000 0.000
Fe2 Fe 0.750 0.250 0.500
Hg1 Hg 0.250 0.750 0.500
Hg2 Hg 0.500 0.500 0.000

=====

Record 8
# PBE-GGA La2FeHg, relaxed
# formation energy = 0 meV/atom
# DOS(E_F) = 1.565 states/eV per atom
# symmetry = Imm2, No. 44
data_La2FeHg
_chemical_formula_sum 'La2 Fe1 Hg1'
_space_group_name_H-M_alt 'P 1'
_space_group_IT_number 1
_space_group_name_Hall 'P 1'
_cell_length_a 6.397
_cell_length_b 6.397
_cell_length_c 6.397
_cell_angle_alpha 146.72
_cell_angle_beta 133.49
_cell_angle_gamma 58.39
loop_
_atom_site_label
_atom_site_type_symbol
_atom_site_fract_x
_atom_site_fract_y
_atom_site_fract_z
La1 La 0.000 0.000 0.000
La2 La 0.689 0.189 0.500
Fe1 Fe 0.227 0.727 0.500
Hg1 Hg 0.407 0.407 0.000